Material: AlInNi6
Method: DFT, meta-GGA SCAN
State: PBEsol geometry

The structure in POSCAR format:
```
AlInNi6
1.0
-5.8382 2.0361 -0.8008
0.2443 -3.8167 4.9239
1.9452 7.9690 6.0806
Al In Ni
4 4 24
Direct
0.2536 0.7464 0.5000
0.7464 0.2536 0.5000
0.0000 0.0000 0.7459
0.0000 0.0000 0.2541
0.2545 0.7455 0.0000
0.7455 0.2545 0.0000
0.5000 0.5000 0.7476
0.5000 0.5000 0.2524
0.2457 0.7543 0.7413
0.8821 0.6362 0.8692
0.1179 0.3638 0.8692
0.7543 0.2457 0.7413
0.3638 0.1179 0.8692
0.6362 0.8821 0.8692
0.5000 0.5000 0.5000
0.1162 0.3701 0.6201
0.3701 0.1162 0.6201
0.2457 0.7543 0.2587
0.8838 0.6299 0.3799
0.1162 0.3701 0.3799
0.7543 0.2457 0.2587
0.3701 0.1162 0.3799
0.6299 0.8838 0.3799
0.5000 0.5000 0.0000
0.1179 0.3638 0.1308
0.3638 0.1179 0.1308
0.0000 0.0000 0.5000
0.6299 0.8838 0.6201
0.8838 0.6299 0.6201
0.0000 0.0000 0.0000
0.6362 0.8821 0.1308
0.8821 0.6362 0.1308
```

Summary:
**Space-group type**: Cmmm (65)
**Total energy**: -17.5043 eV/atom

***

Material: AlInNi2
Method: DFT, meta-GGA SCAN
State: PBEsol geometry

The structure in POSCAR format:
```
AlInNi2
1.0
-1.8838 -1.6251 2.6336
1.6038 -3.1495 -0.7963
3.1434 3.2404 1.7561
Ni Al In
2 1 1
Direct
0.0000 0.0000 0.0000
0.7500 0.2500 0.5000
0.5000 0.5000 0.0000
0.2500 0.7500 0.5000
```

Summary:
**Space-group type**: I-4m2 (119)
**Total energy**: -18.6225 eV/atom

***

Material: AlInNi3
Method: DFT, meta-GGA SCAN
State: PBEsol geometry

The structure in POSCAR format:
```
AlInNi3
1.0
4.2301 0.0000 0.0000
0.0000 4.2301 0.0000
0.0000 0.0000 4.2301
Ni Al In
3 1 1
Direct
0.0000 0.5000 0.0000
0.0000 0.0000 0.5000
0.5000 0.0000 0.0000
0.0000 0.0000 0.0000
0.5000 0.5000 0.5000
```

Summary:
**Space-group type**: Pm-3m (221)
**Total energy**: -17.4803 eV/atom

***

Material: RbAl2InNi
Method: DFT, meta-GGA SCAN
State: PBEsol geometry

The structure in POSCAR format:
```
RbAl2InNi
1.0
-2.3098 -4.0247 -0.3811
3.2263 -2.0996 2.6194
-3.0014 1.2757 4.7192
Ni Al Rb In
1 2 1 1
Direct
0.0000 0.0000 0.0000
0.0000 0.5000 0.0000
0.5000 0.0000 0.0000
0.0000 0.0000 0.5000
0.5000 0.5000 0.5000
```

Summary:
**Space-group type**: P4/mmm (123)
**Total energy**: -16.8366 eV/atom

***

Material: AlInO2
Method: DFT, meta-GGA SCAN
State: PBEsol geometry

The structure in POSCAR format:
```
AlInO2
1.0
-1.8586 -3.6185 3.6248
5.2744 -0.2671 -1.6573
3.9705 1.4179 3.4513
Al O In
2 4 2
Direct
0.2500 0.5000 0.2500
0.5000 0.0000 0.5000
0.4702 0.7500 0.3750
0.2798 0.7500 0.8750
0.8750 0.2500 0.4702
0.3750 0.2500 0.2798
0.7500 0.5000 0.7500
0.0000 0.0000 0.0000
```

Summary:
**Space-group type**: I-42d (122)
**Formation energy without anion corrections**: -8.94 eV per formula unit
**Total energy**: -15.6344 eV/atom

***

Material: AlInO3
Method: DFT, meta-GGA SCAN
State: PBEsol geometry

The structure in POSCAR format:
```
AlInO3
1.0
3.2545 0.0000 0.0000
-1.6272 2.8184 0.0000
0.0000 0.0000 11.9056
Al O In
2 6 2
Direct
0.6667 0.3333 0.2500
0.3333 0.6667 0.7500
0.0000 0.0000 0.2500
0.0000 0.0000 0.7500
0.6667 0.3333 0.0918
0.6667 0.3333 0.4082
0.3333 0.6667 0.9082
0.3333 0.6667 0.5918
0.0000 0.0000 0.5000
0.0000 0.0000 0.0000
```

Summary:
**Space-group type**: P6_3/mmc (194)
**Formation energy without anion corrections**: -12.76 eV per formula unit
**Total energy**: -14.5181 eV/atom

***

Material: AlInO2
Method: DFT, meta-GGA SCAN
State: PBEsol geometry

The structure in POSCAR format:
```
AlInO2
1.0
-0.1041 -1.1770 2.6486
2.4567 -0.6976 1.3744
0.9876 5.2535 3.9612
Al O In
1 2 1
Direct
0.5000 0.5000 0.5000
0.8832 0.8832 0.3505
0.1168 0.1168 0.6495
0.0000 0.0000 0.0000
```

Summary:
**Space-group type**: R-3m (166)
**Formation energy without anion corrections**: -9.66 eV per formula unit
**Total energy**: -15.8150 eV/atom

***

Material: AlInO3
Method: DFT, meta-GGA SCAN
State: PBEsol geometry

The structure in POSCAR format:
```
AlInO3
1.0
-3.9606 -2.3178 -2.1365
1.8812 -4.6461 1.5530
-3.7705 0.5942 6.3451
Al O In
4 12 4
Direct
0.5000 0.0000 0.0000
0.0000 0.5000 0.0000
0.0000 0.5000 0.5000
0.5000 0.0000 0.5000
0.1978 0.2014 0.9412
0.6978 0.2986 0.0588
0.3022 0.7014 0.5588
0.8022 0.7986 0.4412
0.8022 0.7986 0.0588
0.3022 0.7014 0.9412
0.6978 0.2986 0.4412
0.1978 0.2014 0.5588
0.1114 0.4555 0.2500
0.6114 0.0445 0.7500
0.3886 0.9555 0.2500
0.8886 0.5445 0.7500
0.4814 0.4446 0.7500
0.9814 0.0554 0.2500
0.0186 0.9446 0.7500
0.5186 0.5554 0.2500
```

Summary:
**Space-group type**: Pnma (62)
**Formation energy without anion corrections**: -12.69 eV per formula unit
**Total energy**: -14.5053 eV/atom